Mg15Cd2Sn2: relaxed, PBE.

a b c (Å): 7.891 7.891 7.891
angles (deg): 79.84 79.84 79.84
Positions (direct):
Mg 0.000 0.000 0.500
Mg 0.000 0.322 0.678
Mg 0.000 0.500 0.000
Mg 0.000 0.678 0.322
Mg 0.162 0.663 0.663
Mg 0.322 0.000 0.678
Mg 0.322 0.678 0.000
Mg 0.337 0.337 0.838
Mg 0.337 0.838 0.337
Mg 0.500 0.000 0.000
Mg 0.663 0.162 0.663
Mg 0.663 0.663 0.162
Mg 0.678 0.000 0.322
Mg 0.678 0.322 0.000
Mg 0.838 0.337 0.337
Cd 0.095 0.095 0.095
Cd 0.905 0.905 0.905
Sn 0.398 0.398 0.398
Sn 0.602 0.602 0.602

- Total moment: 0.0 μB per cell
- Formation energy: 1.27 eV/f.u.
- Theoretical density: 2.92 g/cm3

Mg6CdSn3: relaxed, PBE.

a b c (Å): 9.257 9.257 5.969
angles (deg): 90.00 90.00 103.72
Positions (direct):
Mg 0.029 0.971 0.500
Mg 0.054 0.432 0.149
Mg 0.245 0.755 0.409
Mg 0.334 0.378 0.389
Mg 0.378 0.334 0.889
Mg 0.432 0.054 0.649
Mg 0.568 0.946 0.149
Mg 0.622 0.666 0.389
Mg 0.666 0.622 0.889
Mg 0.755 0.245 0.909
Mg 0.946 0.568 0.649
Mg 0.971 0.029 0.000
Cd 0.181 0.819 0.864
Cd 0.819 0.181 0.364
Sn 0.076 0.303 0.678
Sn 0.303 0.076 0.178
Sn 0.372 0.628 0.049
Sn 0.628 0.372 0.549
Sn 0.697 0.924 0.678
Sn 0.924 0.697 0.178

- Total moment: 0.0 μB per cell
- Formation energy: -0.65 eV/f.u.
- Theoretical density: 4.11 g/cm3

Mg4Cd3Sn2: relaxed, PBE.

a b c (Å): 4.520 5.325 9.838
angles (deg): 95.56 101.84 114.53
Positions (direct):
Mg 0.176 0.183 0.166
Mg 0.275 0.939 0.610
Mg 0.725 0.061 0.390
Mg 0.824 0.817 0.834
Cd 0.398 0.733 0.054
Cd 0.500 0.500 0.500
Cd 0.602 0.267 0.946
Sn 0.042 0.372 0.718
Sn 0.958 0.628 0.282

- Total moment: 0.0 μB per cell
- Formation energy: -0.80 eV/f.u.
- Theoretical density: 5.41 g/cm3

Mg8Cd3Sn2: relaxed, PBE.

a b c (Å): 8.749 8.749 4.660
angles (deg): 90.00 90.00 115.06
Positions (direct):
Mg 0.111 0.889 0.000
Mg 0.125 0.387 0.500
Mg 0.354 0.646 0.000
Mg 0.387 0.125 0.500
Mg 0.613 0.875 0.500
Mg 0.646 0.354 0.000
Mg 0.875 0.613 0.500
Mg 0.889 0.111 0.000
Cd 0.270 0.270 0.000
Cd 0.500 0.500 0.500
Cd 0.730 0.730 0.000
Sn 0.235 0.765 0.500
Sn 0.765 0.235 0.500

- Total moment: 0.0 μB per cell
- Formation energy: -1.05 eV/f.u.
- Theoretical density: 3.95 g/cm3

MgCdSn2: relaxed, PBE.

a b c (Å): 3.599 3.599 7.742
angles (deg): 90.00 90.00 90.00
Positions (direct):
Mg 0.000 0.000 0.000
Cd 0.000 0.000 0.500
Sn 0.500 0.500 0.243
Sn 0.500 0.500 0.757

- Total moment: 0.0 μB per cell
- Formation energy: 0.01 eV/f.u.
- Theoretical density: 6.20 g/cm3

MgCdSn2: relaxed, PBE.

a b c (Å): 4.704 4.704 4.465
angles (deg): 90.00 90.00 90.00
Positions (direct):
Mg 0.000 0.000 0.000
Cd 0.500 0.500 0.000
Sn 0.000 0.500 0.500
Sn 0.500 0.000 0.500

- Total moment: 0.0 μB per cell
- Formation energy: -0.14 eV/f.u.
- Theoretical density: 6.29 g/cm3

Mg2Cd3Sn3: relaxed, PBE.

a b c (Å): 4.573 4.771 8.827
angles (deg): 90.00 90.00 90.00
Positions (direct):
Mg 0.000 0.000 0.246
Mg 0.000 0.000 0.754
Cd 0.000 0.500 0.000
Cd 0.500 0.500 0.242
Cd 0.500 0.500 0.758
Sn 0.000 0.500 0.500
Sn 0.500 0.000 0.000
Sn 0.500 0.000 0.500

- Total moment: 0.0 μB per cell
- Formation energy: -0.26 eV/f.u.
- Theoretical density: 6.40 g/cm3

Mg2Cd3Sn: relaxed, PBE.

a b c (Å): 10.239 10.239 3.087
angles (deg): 90.00 90.00 120.00
Positions (direct):
Mg 0.000 0.000 0.000
Mg 0.000 0.500 0.000
Mg 0.500 0.000 0.000
Mg 0.500 0.500 0.000
Cd 0.163 0.326 0.500
Cd 0.163 0.837 0.500
Cd 0.326 0.163 0.500
Cd 0.674 0.837 0.500
Cd 0.837 0.163 0.500
Cd 0.837 0.674 0.500
Sn 0.333 0.667 0.500
Sn 0.667 0.333 0.500

- Total moment: 0.0 μB per cell
- Formation energy: -0.15 eV/f.u.
- Theoretical density: 5.98 g/cm3

Mg5Cd2Sn: relaxed, PBE.

a b c (Å): 6.310 12.659 4.518
angles (deg): 90.00 90.00 90.00
Positions (direct):
Mg 0.000 0.000 0.000
Mg 0.040 0.254 0.000
Mg 0.221 0.618 0.500
Mg 0.279 0.118 0.500
Mg 0.460 0.754 0.000
Mg 0.500 0.500 0.000
Mg 0.540 0.246 0.000
Mg 0.721 0.882 0.500
Mg 0.779 0.382 0.500
Mg 0.960 0.746 0.000
Cd 0.203 0.863 0.500
Cd 0.297 0.363 0.500
Cd 0.703 0.637 0.500
Cd 0.797 0.137 0.500
Sn 0.000 0.500 0.000
Sn 0.500 0.000 0.000

- Total moment: 0.0 μB per cell
- Formation energy: -0.73 eV/f.u.
- Theoretical density: 4.28 g/cm3

Mg2Cd7Sn2: relaxed, PBE.

a b c (Å): 7.622 7.622 5.551
angles (deg): 111.08 111.08 93.94
Positions (direct):
Mg 0.245 0.755 0.000
Mg 0.755 0.245 0.000
Cd 0.080 0.592 0.339
Cd 0.161 0.161 0.169
Cd 0.408 0.920 0.661
Cd 0.500 0.500 0.500
Cd 0.592 0.080 0.339
Cd 0.839 0.839 0.831
Cd 0.920 0.408 0.661
Sn 0.326 0.326 0.831
Sn 0.674 0.674 0.169

- Total moment: 0.0 μB per cell
- Formation energy: 0.03 eV/f.u.
- Theoretical density: 6.52 g/cm3

MgCdSn2: relaxed, PBE.

a b c (Å): 6.683 6.683 6.683
angles (deg): 39.68 39.68 39.68
Positions (direct):
Mg 0.000 0.000 0.000
Cd 0.829 0.829 0.829
Sn 0.415 0.415 0.415
Sn 0.579 0.579 0.579

- Total moment: 0.0 μB per cell
- Formation energy: 0.08 eV/f.u.
- Theoretical density: 5.67 g/cm3

Mg3CdSn: relaxed, PBE.

a b c (Å): 3.313 8.312 8.849
angles (deg): 106.29 90.83 90.07
Positions (direct):
Mg 0.000 0.000 0.000
Mg 0.003 0.576 0.348
Mg 0.008 0.994 0.394
Mg 0.495 0.391 0.598
Mg 0.502 0.810 0.646
Mg 0.507 0.385 0.992
Cd 0.004 0.629 0.843
Cd 0.501 0.756 0.149
Sn 0.000 0.149 0.733
Sn 0.506 0.236 0.259

- Total moment: 0.0 μB per cell
- Formation energy: -0.49 eV/f.u.
- Theoretical density: 4.32 g/cm3